Computed, not measured: crystalline NbRhF2 at its relaxed geometry at the GGA-PBE level of DFT.

* E_form (uncorrected): -832 meV/atom
* final energy: -6.123 eV/atom
* DOS at the Fermi energy: 6.78 states/eV/f.u.

extended XYZ file:
```
8
Lattice="-3.644 3.644 2.451 3.644 -3.644 2.451 3.644 3.644 -2.451" Properties=species:S:1:pos:R:3 pbc="T T T"
Nb 0.000 0.000 0.000
Nb 0.000 3.644 1.226
Rh 3.644 0.000 1.226
Rh 0.000 0.000 2.451
F 0.894 1.822 0.613
F -1.822 2.751 1.839
F -0.894 5.467 0.613
F 1.822 4.538 1.839
```